The following is a DFT calculation (PBE with a Hubbard U) of ZnTcNiO4 after structural relaxation.

The value obtained for the volume is 11.2 Å³/atom. The calculation puts the final energy at -6.11 eV/atom. The density of states at the Fermi level comes out at 0.393 states/eV/f.u.

The space group is Cm (No. 8) and the conventional cell measures 10.7478, 5.6831 and 6.0968 Å, with angles of 90.00, 123.03 and 90.00 degrees. The inequivalent atoms are Zn at (0.0000, 0.0000, 0.0000), Zn at (0.1392, 0.5000, 0.8901), Tc at (0.3759, 0.2148, 0.3801), Ni at (0.1327, 0.5000, 0.3744), Ni at (0.2316, 0.0000, 0.7477), O at (0.0984, 0.2671, 0.5967), O at (0.1543, 0.2512, 0.1518), O at (0.3684, 0.5000, 0.5967), O at (0.3755, 0.5000, 0.1551), O at (0.3785, 0.0000, 0.6465) and O at (0.3935, 0.0000, 0.1332).